Record 1
Dy12Tm5Al2 | Alexandria via LeMat-Bulk | PBE | relaxed; calculated formation energy = 0.023 eV/atom
1.0
7.503 -4.609 0.000
7.503 4.609 0.000
-0.381 0.000 8.216
Dy Tm Al
12 5 2
direct
0.053 0.053 0.322
0.071 0.678 0.330
0.169 0.542 0.771
0.322 0.929 0.670
0.420 0.420 0.120
0.458 0.831 0.229
0.542 0.169 0.771
0.580 0.580 0.880
0.678 0.071 0.330
0.831 0.458 0.229
0.929 0.322 0.670
0.947 0.947 0.678
0.189 0.189 0.013
0.268 0.268 0.425
0.500 0.500 0.500
0.732 0.732 0.575
0.811 0.811 0.987
0.170 0.830 0.000
0.830 0.170 0.000


Record 2
DyTm2Al3 | Alexandria via LeMat-Bulk | PBE | relaxed; calculated formation energy = -0.138 eV/atom
1.0
5.909 0.000 0.000
0.000 10.302 0.000
0.000 0.000 4.956
Dy Tm Al
2 4 6
direct
0.000 0.000 0.000
0.500 0.500 0.000
0.000 0.334 0.000
0.000 0.666 0.000
0.500 0.166 0.000
0.500 0.834 0.000
0.000 0.500 0.500
0.250 0.250 0.500
0.250 0.750 0.500
0.500 0.000 0.500
0.750 0.250 0.500
0.750 0.750 0.500


calculated formation energy of number 2 (DyTm2Al3)? -0.138 eV/atom


What is the formula in the second record? DyTm2Al3